[1]
The following is a PBE-GGA calculation of a geometry-optimized ScCu5Au6 structure, from Alexandria via LeMat-Bulk.

```
12
Lattice="-1.242 -3.755 1.336 2.964 -4.598 -3.645 5.557 -0.159 4.720" Properties=species:S:1:pos:R:3 pbc="T T T"
Au 5.867 -3.796 1.310
Au 3.517 -1.996 4.183
Au 1.413 -4.717 1.101
Au 0.797 -1.918 1.873
Au 4.086 -4.793 3.372
Au 3.193 -3.719 -0.961
Cu 3.317 -2.837 1.634
Cu 3.962 -5.676 0.778
Cu 2.779 -0.079 2.360
Cu 0.605 -2.808 -0.806
Cu 1.117 -5.546 -1.502
Sc 0.000 0.000 0.000
```

Results
The calculation puts the energy at -4.059 eV/atom. The value obtained for the calculated formation energy is -0.19 eV per atom.

[2]
The following is a PBE-GGA calculation of a geometry-optimized La2Dy6Tm3Sc structure, from Alexandria via LeMat-Bulk.

```
12
Lattice="-3.646 2.482 4.255 -2.412 -2.289 -5.147 0.938 -10.394 5.398" Properties=species:S:1:pos:R:3 pbc="T T T"
Dy -1.069 -3.377 -0.402
Dy -3.644 -8.397 1.808
Dy -4.051 -6.824 4.907
Dy -1.475 -1.804 2.697
Dy -0.786 -7.705 3.807
Dy -4.334 -2.496 0.698
La -3.234 0.890 1.116
La -2.824 -0.697 -2.009
Sc 0.000 0.000 0.000
Tm -2.972 -3.507 5.391
Tm -2.148 -6.693 -0.886
Tm -2.560 -5.100 2.253
```

Results
The calculation puts the energy at -4.735 eV/atom. The value obtained for the calculated formation energy is 0.03 eV per atom.

[3]
The following is a PBE-GGA calculation of a geometry-optimized Al4CuSe structure, from Alexandria via LeMat-Bulk.

```
6
Lattice="0.000 3.768 3.768 3.768 0.000 3.768 3.768 3.768 0.000" Properties=species:S:1:pos:R:3 pbc="T T T"
Al 4.703 4.703 2.832
Al 4.703 2.832 4.703
Al 2.832 2.832 2.832
Al 2.832 4.703 4.703
Cu 5.651 5.651 5.651
Se 0.000 0.000 0.000
```

Results
As for the formation energy without anion corrections: 0.31 eV/atom. The calculation puts the energy at -3.449 eV/atom.

[4]
The following is a PBE-GGA calculation of a geometry-optimized Mg2TaSb structure, from Alexandria via LeMat-Bulk.

```
4
Lattice="-4.618 -1.011 -1.239 -1.141 -0.873 -4.671 -1.218 -4.516 -1.415" Properties=species:S:1:pos:R:3 pbc="T T T"
Mg 0.000 0.000 0.000
Mg -1.744 -1.600 -1.831
Ta -5.233 -4.800 -5.494
Sb -3.489 -3.200 -3.662
```

Results
As for the formation energy without anion corrections: 0.39 eV/atom. The calculation puts the energy at -4.402 eV/atom.

[5]
The following is a PBE-GGA calculation of a geometry-optimized Nd2NpTaN6 structure, from Alexandria via LeMat-Bulk.

```
20
Lattice="-2.367 -1.934 4.916 -1.127 -5.105 -2.551 7.268 -2.820 2.431" Properties=species:S:1:pos:R:3 pbc="T T T"
N 0.390 -1.954 3.454
N -0.918 -5.128 3.751
N 4.691 -4.731 1.045
N 4.165 -8.212 4.145
N -0.392 -1.647 0.651
N -1.134 -4.317 -0.294
N 1.229 -7.091 3.182
N 1.974 -4.407 4.132
N 3.384 -7.905 1.342
N 4.907 -5.542 5.089
N 2.544 -2.768 1.614
N 1.800 -5.452 0.663
Np -0.564 -2.553 -1.276
Np 2.450 -2.377 3.673
Nd 3.056 -4.219 6.591
Nd 3.646 -5.850 2.960
Nd 0.718 -5.639 -1.796
Nd 0.127 -4.009 1.835
Ta -1.183 -0.967 2.458
Ta 3.070 -3.962 -0.060
```

Results
As for the formation energy without anion corrections: -1.19 eV/atom. The calculation puts the energy at -9.614 eV/atom.

[6]
The following is a PBE-GGA calculation of a geometry-optimized YBi2Pb structure, from Alexandria via LeMat-Bulk.

```
4
Lattice="4.242 0.000 0.000 0.000 4.242 0.000 0.000 0.000 6.799" Properties=species:S:1:pos:R:3 pbc="T T T"
Bi 0.000 0.000 5.206
Bi 0.000 0.000 1.592
Pb 2.121 2.121 3.399
Y 2.121 2.121 0.000
```

Results
The calculation puts the energy at -4.854 eV/atom. The value obtained for the calculated formation energy is -0.37 eV per atom.

[7]
The following is a PBE-GGA calculation of a geometry-optimized TmScSe structure, from Alexandria via LeMat-Bulk.

```
3
Lattice="-2.444 -0.155 -2.811 2.177 -2.934 0.741 -4.290 -2.211 3.853" Properties=species:S:1:pos:R:3 pbc="T T T"
Tm -0.191 -0.098 0.171
Se -2.382 -1.843 -0.299
Sc -1.984 -3.359 1.911
```

Results
As for the formation energy without anion corrections: -1.04 eV/atom. The calculation puts the energy at -5.799 eV/atom.

[8]
The following is a PBE-GGA calculation of a geometry-optimized Fe3PtCl structure, from Alexandria via LeMat-Bulk.

```
5
Lattice="4.129 0.000 0.000 0.000 4.129 0.000 0.000 0.000 4.129" Properties=species:S:1:pos:R:3 pbc="T T T"
Fe 0.000 2.064 0.000
Fe 2.064 0.000 0.000
Fe 0.000 0.000 2.064
Cl 0.000 0.000 0.000
Pt 2.064 2.064 2.064
```

Results
As for the formation energy without anion corrections: 0.63 eV/atom. The calculation puts the energy at -6.027 eV/atom.

[9]
The following is a PBE-GGA calculation of a geometry-optimized InCuSb2 structure, from Alexandria via LeMat-Bulk.

```
4
Lattice="3.417 0.000 0.000 0.000 3.417 0.000 0.000 0.000 8.274" Properties=species:S:1:pos:R:3 pbc="T T T"
Sb 0.000 0.000 0.505
Sb 0.000 0.000 3.632
In 1.709 1.709 6.205
Cu 1.709 1.709 2.068
```

Results
As for the formation energy without anion corrections: 0.15 eV/atom. The calculation puts the energy at -3.623 eV/atom.

[10]
The following is a PBE-GGA calculation of a geometry-optimized Pr5Nd12Tm2 structure, from Alexandria via LeMat-Bulk.

```
19
Lattice="-4.417 -2.317 -5.368 1.447 -7.303 6.963 -8.015 -0.360 6.750" Properties=species:S:1:pos:R:3 pbc="T T T"
Pr -4.150 -6.604 1.264
Pr -4.008 -0.180 3.375
Pr -6.835 -3.375 7.081
Pr -2.141 -5.595 4.177
Pr -8.844 -4.385 4.169
Nd -4.655 -4.488 -1.746
Nd -5.757 -6.411 4.996
Nd -3.309 -8.510 6.396
Nd -2.436 -3.324 0.951
Nd -3.542 -5.249 7.688
Nd -6.168 -0.606 5.337
Nd -7.676 -1.470 1.949
Nd -6.330 -5.491 10.091
Nd -8.549 -6.656 7.395
Nd -5.228 -3.568 3.349
Nd -7.443 -4.730 0.657
Nd -4.817 -9.373 3.009
Tm -1.260 -0.661 -1.531
Tm -3.157 -1.656 -3.837
```

Results
The calculation puts the energy at -4.575 eV/atom. The value obtained for the calculated formation energy is 0.16 eV per atom.

[11]
The following is a PBE-GGA calculation of a geometry-optimized SnBrNF2 structure, from Alexandria via LeMat-Bulk.

```
5
Lattice="4.181 0.000 0.000 0.000 4.181 0.000 0.000 0.000 4.273" Properties=species:S:1:pos:R:3 pbc="T T T"
Sn 0.000 0.000 0.000
N 0.000 0.000 2.136
F 0.000 2.091 0.000
F 2.091 0.000 0.000
Br 2.091 2.091 2.136
```

Results
As for the formation energy without anion corrections: -0.50 eV/atom. The calculation puts the energy at -4.050 eV/atom.

[12]
The following is a PBE-GGA calculation of a geometry-optimized PaGe3S6 structure, from Alexandria via LeMat-Bulk.

```
10
Lattice="5.874 0.000 3.117 2.110 5.482 3.117 -0.016 -0.011 7.124" Properties=species:S:1:pos:R:3 pbc="T T T"
Ge 1.206 0.828 4.821
Ge 5.189 3.563 4.407
Ge 2.757 1.893 8.992
S 4.558 0.327 7.873
S 1.265 2.378 6.873
S 3.822 1.373 4.289
S 4.140 4.137 9.039
S 3.456 5.157 5.474
S 6.708 3.073 6.441
Pa 6.738 4.627 8.582
```

Results
As for the formation energy without anion corrections: -0.60 eV/atom. The calculation puts the energy at -5.409 eV/atom.

[13]
The following is a PBE-GGA calculation of a geometry-optimized Al2CdFe structure, from Alexandria via LeMat-Bulk.

```
4
Lattice="6.717 0.596 0.126 5.950 3.172 0.126 1.153 0.343 3.930" Properties=species:S:1:pos:R:3 pbc="T T T"
Al 11.780 3.504 0.535
Al 10.387 3.090 3.130
Cd 7.665 2.280 1.851
Fe 3.567 1.061 1.009
```

Results
The calculation puts the energy at -4.254 eV/atom. The value obtained for the calculated formation energy is -0.04 eV per atom.

[14]
The following is a PBE-GGA calculation of a geometry-optimized TcAs2 structure, from Alexandria via LeMat-Bulk.

```
6
Lattice="-2.453 1.648 1.086 -2.341 -5.140 2.514 3.081 1.153 5.226" Properties=species:S:1:pos:R:3 pbc="T T T"
Tc 0.370 -1.993 3.870
Tc -1.227 0.824 0.543
As 0.329 0.206 5.005
As -2.290 0.775 2.777
As 0.578 -3.114 6.049
As -2.042 -2.544 3.821
```

Results
The calculation puts the energy at -6.579 eV/atom. The value obtained for the calculated formation energy is -0.02 eV per atom.

[15]
The following is a PBE-GGA calculation of a geometry-optimized LiRhPb3 structure, from Alexandria via LeMat-Bulk.

```
5
Lattice="4.964 0.000 0.000 0.000 4.964 0.000 0.000 0.000 4.964" Properties=species:S:1:pos:R:3 pbc="T T T"
Pb 0.000 2.482 0.000
Pb 0.000 0.000 2.482
Pb 2.482 0.000 0.000
Rh 2.482 2.482 2.482
Li 0.000 0.000 0.000
```

Results
The calculation puts the energy at -3.542 eV/atom. The value obtained for the calculated formation energy is 0.54 eV per atom.

[16]
The following is a PBE-GGA calculation of a geometry-optimized Pa4SbTe5 structure, from Alexandria via LeMat-Bulk.

```
10
Lattice="5.143 0.000 -1.198 -0.721 6.792 -3.094 -0.596 -0.043 9.080" Properties=species:S:1:pos:R:3 pbc="T T T"
Te 0.154 4.586 0.660
Te 3.672 2.163 4.128
Te 3.286 5.735 2.471
Te 2.211 3.396 -2.146
Te 0.540 1.015 2.318
Pa 1.263 0.526 5.421
Pa 3.979 5.027 5.444
Pa 2.563 6.224 -0.633
Pa -0.153 1.723 -0.655
Sb 2.571 0.000 -0.599
```

Results
As for the formation energy without anion corrections: -0.69 eV/atom. The calculation puts the energy at -6.470 eV/atom.

[17]
The following is a PBE-GGA calculation of a geometry-optimized CuIrRu2 structure, from Alexandria via LeMat-Bulk.

```
4
Lattice="-2.262 -0.595 1.388 2.059 -0.348 3.207 -0.720 5.109 1.017" Properties=species:S:1:pos:R:3 pbc="T T T"
Ru -0.354 2.509 0.499
Ru -0.006 0.045 0.009
Ir -0.642 3.360 3.060
Cu -0.281 0.806 2.552
```

Results
The calculation puts the energy at -7.723 eV/atom. The value obtained for the calculated formation energy is 0.15 eV per atom.

[18]
The following is a PBE-GGA calculation of a geometry-optimized KIrSe2 structure, from Alexandria via LeMat-Bulk.

```
4
Lattice="-1.204 1.501 6.893 3.161 -4.090 -4.950 6.516 4.966 0.057" Properties=species:S:1:pos:R:3 pbc="T T T"
Ir 2.607 -0.053 0.986
Se 2.833 2.159 0.025
Se 0.425 0.324 0.004
K 5.865 2.430 1.015
```

Results
As for the formation energy without anion corrections: -0.21 eV/atom. The calculation puts the energy at -4.444 eV/atom.

[19]
The following is a PBE-GGA calculation of a geometry-optimized Cr2CoRu structure, from Alexandria via LeMat-Bulk.

```
4
Lattice="-0.087 -3.029 1.937 1.067 -1.898 -2.919 3.481 0.504 0.945" Properties=species:S:1:pos:R:3 pbc="T T T"
Cr 0.000 0.000 0.000
Cr 2.274 -0.697 -0.987
Co 1.697 -1.263 1.441
Ru 0.490 -2.464 -0.491
```

Results
The calculation puts the energy at -8.836 eV/atom. The value obtained for the calculated formation energy is 0.07 eV per atom.

[20]
The following is a PBE-GGA calculation of a geometry-optimized Li2RhAu structure, from Alexandria via LeMat-Bulk.

```
4
Lattice="9.490 0.006 0.004 9.076 2.773 0.004 9.076 1.359 2.418" Properties=species:S:1:pos:R:3 pbc="T T T"
Li 6.715 1.005 0.589
Li 0.132 0.020 0.012
Rh 13.899 2.081 1.219
Au 20.717 3.102 1.817
```

Results
The calculation puts the energy at -3.675 eV/atom. The value obtained for the calculated formation energy is -0.06 eV per atom.

[21]
The following is a PBE-GGA calculation of a geometry-optimized NdSeN structure, from Alexandria via LeMat-Bulk.

```
12
Lattice="-0.655 3.153 2.643 -8.348 -0.938 -0.951 1.940 -5.359 6.874" Properties=species:S:1:pos:R:3 pbc="T T T"
Nd -2.680 -1.558 6.154
Nd -6.847 -2.061 5.649
Nd -0.216 -1.083 2.916
Nd -4.383 -1.587 2.411
Se -6.799 -0.108 3.371
Se -0.264 -3.036 5.194
Se -2.624 0.357 3.844
Se -4.439 -3.502 4.721
N -6.773 -4.187 7.040
N -0.291 1.042 1.525
N -2.838 -2.566 8.481
N -4.225 -0.578 0.084
```

Results
As for the formation energy without anion corrections: -1.20 eV/atom. The calculation puts the energy at -6.721 eV/atom.

[22]
The following is a PBE-GGA calculation of a geometry-optimized Si3RhF structure, from Alexandria via LeMat-Bulk.

```
5
Lattice="4.597 0.000 0.000 0.000 4.597 0.000 0.000 0.000 4.597" Properties=species:S:1:pos:R:3 pbc="T T T"
Si 0.000 0.000 2.298
Si 0.000 2.298 0.000
Si 2.298 0.000 0.000
F 2.298 2.298 2.298
Rh 0.000 0.000 0.000
```

Results
As for the formation energy without anion corrections: 0.04 eV/atom. The calculation puts the energy at -5.054 eV/atom.

[23]
The following is a PBE-GGA calculation of a geometry-optimized Ag2Br structure, from Alexandria via LeMat-Bulk.

```
3
Lattice="4.768 0.000 0.000 2.384 4.130 0.000 2.384 1.377 3.893" Properties=species:S:1:pos:R:3 pbc="T T T"
Br 0.000 0.000 0.000
Ag 7.153 4.130 2.920
Ag 2.384 1.377 0.973
```

Results
As for the formation energy without anion corrections: 0.24 eV/atom. The calculation puts the energy at -2.223 eV/atom.

[24]
The following is a PBE-GGA calculation of a geometry-optimized ReGe2Ru structure, from Alexandria via LeMat-Bulk.

```
4
Lattice="-2.023 1.875 -0.857 -2.791 -0.735 0.112 -2.124 3.619 8.061" Properties=species:S:1:pos:R:3 pbc="T T T"
Ge -4.955 2.023 1.519
Ge -1.983 2.736 5.796
Ru 0.000 0.000 0.000
Re -3.469 2.379 3.658
```

Results
The calculation puts the energy at -7.372 eV/atom. The value obtained for the calculated formation energy is 0.37 eV per atom.

[25]
The following is a PBE-GGA calculation of a geometry-optimized Pm3IrPb structure, from Alexandria via LeMat-Bulk.

```
15
Lattice="7.412 0.000 0.000 0.000 7.412 0.000 0.000 0.000 7.412" Properties=species:S:1:pos:R:3 pbc="T T T"
Pm 3.706 3.706 3.706
Pm 5.718 5.718 5.718
Pm 1.694 1.694 1.694
Pm 1.694 5.718 1.694
Pm 5.718 1.694 1.694
Pm 1.694 5.718 5.718
Pm 5.718 5.718 1.694
Pm 1.694 1.694 5.718
Pm 5.718 1.694 5.718
Ir 0.000 0.000 3.706
Ir 3.706 0.000 0.000
Ir 0.000 3.706 0.000
Pb 0.000 3.706 3.706
Pb 3.706 0.000 3.706
Pb 3.706 3.706 0.000
```

Results
The calculation puts the energy at -5.746 eV/atom. The value obtained for the calculated formation energy is -0.38 eV per atom.